[1]
This record from Alexandria via LeMat-Bulk describes a geometry-optimized AgGe2Bi2 structure. The functional is PBE.

Geometry as CIF:
```
data_AgGe2Bi2
_symmetry_space_group_name_H-M 'P 4/m b m'
_symmetry_Int_Tables_number 127
_symmetry_space_group_name_Hall '-P 4 2ab'
_cell_length_a 8.243
_cell_length_b 8.243
_cell_length_c 3.898
_cell_angle_alpha 90.00
_cell_angle_beta 90.00
_cell_angle_gamma 90.00
loop_
_atom_site_label
_atom_site_type_symbol
_atom_site_fract_x
_atom_site_fract_y
_atom_site_fract_z
_atom_site_occupancy
Ag1 Ag 0.000 0.000 0.000 1
Ge1 Ge 0.115 0.385 0.500 1
Bi1 Bi 0.175 0.675 0.000 1
```

Values from the calculation:
The energy of formation comes out at 0.33 eV per atom. As for the energy: -36.389 eV/cell. The value obtained for the volume is 26.5 A^3/atom.

---

[2]
This record from Alexandria via LeMat-Bulk describes a geometry-optimized Ag4GeBi structure. The functional is PBE.

Geometry as CIF:
```
data_Ag4GeBi
_symmetry_space_group_name_H-M 'F -4 3 m'
_symmetry_Int_Tables_number 216
_symmetry_space_group_name_Hall 'F -4 2 3'
_cell_length_a 7.954
_cell_length_b 7.954
_cell_length_c 7.954
_cell_angle_alpha 90.00
_cell_angle_beta 90.00
_cell_angle_gamma 90.00
loop_
_atom_site_label
_atom_site_type_symbol
_atom_site_fract_x
_atom_site_fract_y
_atom_site_fract_z
_atom_site_occupancy
Ag1 Ag 0.125 0.125 0.125 1
Ge1 Ge 0.000 0.000 0.500 1
Bi1 Bi 0.250 0.250 0.750 1
```

Values from the calculation:
The energy of formation comes out at 0.15 eV per atom. As for the energy: -75.996 eV/cell. The value obtained for the volume is 21.0 A^3/atom.

---

[3]
This record from Alexandria via LeMat-Bulk describes a geometry-optimized AgGe3Bi structure. The functional is PBE.

Geometry as CIF:
```
data_AgGe3Bi
_symmetry_space_group_name_H-M 'P m -3 m'
_symmetry_Int_Tables_number 221
_symmetry_space_group_name_Hall '-P 4 2 3'
_cell_length_a 5.052
_cell_length_b 5.052
_cell_length_c 5.052
_cell_angle_alpha 90.00
_cell_angle_beta 90.00
_cell_angle_gamma 90.00
loop_
_atom_site_label
_atom_site_type_symbol
_atom_site_fract_x
_atom_site_fract_y
_atom_site_fract_z
_atom_site_occupancy
Ag1 Ag 0.000 0.000 0.000 1
Ge1 Ge 0.000 0.000 0.500 1
Bi1 Bi 0.500 0.500 0.500 1
```

Values from the calculation:
The energy of formation comes out at 0.60 eV per atom. As for the energy: -17.588 eV/cell. The value obtained for the volume is 25.8 A^3/atom.

---

[4]
This record from Alexandria via LeMat-Bulk describes a geometry-optimized AgGe2Bi2 structure. The functional is PBE.

Geometry as CIF:
```
data_AgGe2Bi2
_symmetry_space_group_name_H-M 'P 4/m b m'
_symmetry_Int_Tables_number 127
_symmetry_space_group_name_Hall '-P 4 2ab'
_cell_length_a 6.719
_cell_length_b 6.719
_cell_length_c 5.651
_cell_angle_alpha 90.00
_cell_angle_beta 90.00
_cell_angle_gamma 90.00
loop_
_atom_site_label
_atom_site_type_symbol
_atom_site_fract_x
_atom_site_fract_y
_atom_site_fract_z
_atom_site_occupancy
Ag1 Ag 0.000 0.000 0.000 1
Ge1 Ge 0.134 0.366 0.000 1
Bi1 Bi 0.244 0.256 0.500 1
```

Values from the calculation:
The energy of formation comes out at 0.20 eV per atom. As for the energy: -37.700 eV/cell. The value obtained for the volume is 25.5 A^3/atom.

---

[5]
This record from Alexandria via LeMat-Bulk describes a geometry-optimized Ag2Ge2Bi structure. The functional is PBE.

Geometry as CIF:
```
data_Ag2Ge2Bi
_symmetry_space_group_name_H-M 'P 4/m b m'
_symmetry_Int_Tables_number 127
_symmetry_space_group_name_Hall '-P 4 2ab'
_cell_length_a 8.108
_cell_length_b 8.108
_cell_length_c 3.255
_cell_angle_alpha 90.00
_cell_angle_beta 90.00
_cell_angle_gamma 90.00
loop_
_atom_site_label
_atom_site_type_symbol
_atom_site_fract_x
_atom_site_fract_y
_atom_site_fract_z
_atom_site_occupancy
Ag1 Ag 0.130 0.370 0.000 1
Ge1 Ge 0.163 0.663 0.500 1
Bi1 Bi 0.000 0.000 0.000 1
```

Values from the calculation:
The energy of formation comes out at 0.22 eV per atom. As for the energy: -35.401 eV/cell. The value obtained for the volume is 21.4 A^3/atom.

---

[6]
This record from Alexandria via LeMat-Bulk describes a geometry-optimized Ag2Ge2Bi structure. The functional is PBE.

Geometry as CIF:
```
data_Ag2Ge2Bi
_symmetry_space_group_name_H-M 'I 4/m m m'
_symmetry_Int_Tables_number 139
_symmetry_space_group_name_Hall '-I 4 2'
_cell_length_a 4.081
_cell_length_b 4.081
_cell_length_c 13.086
_cell_angle_alpha 90.00
_cell_angle_beta 90.00
_cell_angle_gamma 90.00
loop_
_atom_site_label
_atom_site_type_symbol
_atom_site_fract_x
_atom_site_fract_y
_atom_site_fract_z
_atom_site_occupancy
Ag1 Ag 0.000 0.000 0.106 1
Ge1 Ge 0.000 0.500 0.250 1
Bi1 Bi 0.000 0.000 0.500 1
```

Values from the calculation:
The energy of formation comes out at 0.20 eV per atom. As for the energy: -35.638 eV/cell. The value obtained for the volume is 21.8 A^3/atom.

---

no.,ρ (g cm⁻³),total magnetization (Bohr magnetons per cell)
1,8.41,0.00
2,9.41,0.00
3,6.89,0.00
4,8.74,0.00
5,8.85,0.00
6,8.68,0.00